K2Mn3F10 | the Alexandria database | GGA+U | optimized geometry; total energy = -0.2030 Ha/atom; N(E_F) = 0.163 states/eV/atom; total moment = 0.867 μB/atom; symmetry = C2/m (12)
1.0
9.537 -3.152 0.000
9.537 3.152 0.000
-3.131 0.000 7.431
K Mn F
4 6 20
Direct
0.113 0.113 0.233
0.207 0.207 0.831
0.793 0.793 0.169
0.887 0.887 0.767
0.245 0.755 0.500
0.317 0.317 0.477
0.423 0.423 0.024
0.577 0.577 0.976
0.683 0.683 0.523
0.755 0.245 0.500
0.000 0.500 0.500
0.016 0.016 0.685
0.138 0.573 0.013
0.148 0.623 0.462
0.263 0.263 0.233
0.301 0.699 0.000
0.368 0.368 0.730
0.377 0.852 0.538
0.427 0.862 0.987
0.478 0.478 0.307
0.500 0.000 0.500
0.522 0.522 0.693
0.573 0.138 0.013
0.623 0.148 0.462
0.632 0.632 0.270
0.699 0.301 0.000
0.737 0.737 0.767
0.852 0.377 0.538
0.862 0.427 0.987
0.984 0.984 0.315